[1]
DFT (PBE+U) results for a relaxed structure of MgCoO3.

Output
The crystal system is cubic. The spin magnetization comes out at 1.5 μB/f.u. The calculation puts the total energy at -5.27 eV per atom.

The structure in CIF format:
```
data_MgCoO3
_chemical_formula_sum 'Mg1 Co1 O3'
_symmetry_space_group_name_H-M 'P m -3 m'
_symmetry_Int_Tables_number 221
_symmetry_space_group_name_Hall '-P 4 2 3'
_cell_length_a 3.6540
_cell_length_b 3.6540
_cell_length_c 3.6540
_cell_angle_alpha 90.00
_cell_angle_beta 90.00
_cell_angle_gamma 90.00
loop_
_atom_site_label
_atom_site_type_symbol
_atom_site_fract_x
_atom_site_fract_y
_atom_site_fract_z
Mg1 Mg 0.0000 0.0000 0.0000
Co1 Co 0.5000 0.5000 0.5000
O1 O 0.0000 0.5000 0.5000
```

---

[2]
DFT (PBE+U) results for a relaxed structure of MgCoO3.

Output
The crystal system is cubic. The spin magnetization comes out at 1.0 μB/f.u. The calculation puts the total energy at -4.80 eV per atom.

The structure in CIF format:
```
data_MgCoO3
_chemical_formula_sum 'Mg1 Co1 O3'
_symmetry_space_group_name_H-M 'P m -3 m'
_symmetry_Int_Tables_number 221
_symmetry_space_group_name_Hall '-P 4 2 3'
_cell_length_a 4.5474
_cell_length_b 4.5474
_cell_length_c 4.5474
_cell_angle_alpha 90.00
_cell_angle_beta 90.00
_cell_angle_gamma 90.00
loop_
_atom_site_label
_atom_site_type_symbol
_atom_site_fract_x
_atom_site_fract_y
_atom_site_fract_z
Mg1 Mg 0.0000 0.0000 0.0000
Co1 Co 0.5000 0.5000 0.5000
O1 O 0.0000 0.0000 0.5000
```

---

[3]
DFT (PBE+U) results for a relaxed structure of MgCoPO.

Output
The energy above the most stable polymorph in this dataset comes out at 73.92 kJ/mol of atoms. The crystal system is tetragonal. The spin magnetization comes out at 0.5 μB/f.u. The calculation puts the total energy at -4.50 eV per atom.

The structure in CIF format:
```
data_MgCoPO
_chemical_formula_sum 'Mg2 Co2 P2 O2'
_symmetry_space_group_name_H-M 'P 4/n m m'
_symmetry_Int_Tables_number 129
_cell_length_a 3.9052
_cell_length_b 3.9052
_cell_length_c 8.3617
_cell_angle_alpha 90.00
_cell_angle_beta 90.00
_cell_angle_gamma 90.00
loop_
_symmetry_equiv_pos_as_xyz
'x,y,z'
'-x,-y,-z'
'-y+1/2,x,z'
'y+1/2,-x,-z'
'-x+1/2,-y+1/2,z'
'x+1/2,y+1/2,-z'
'y,-x+1/2,z'
'-y,x+1/2,-z'
'x+1/2,-y,-z'
'-x+1/2,y,z'
'-y,-x,-z'
'y,x,z'
'-x,y+1/2,-z'
'x,-y+1/2,z'
'y+1/2,x+1/2,-z'
'-y+1/2,-x+1/2,z'
loop_
_atom_site_label
_atom_site_type_symbol
_atom_site_fract_x
_atom_site_fract_y
_atom_site_fract_z
Mg1 Mg 0.2500 0.7500 0.0000
Co1 Co 0.2500 0.2500 0.4516
P1 P 0.2500 0.2500 0.1854
O1 O 0.2500 0.7500 0.5000
```